Below is crystalline Li2Ga6Sn at its relaxed geometry, with properties calculated at the PBE-GGA level.

ΔE_f: -1.061 eV/f.u.
Energy above the lowest structure with this stoichiometry: 0 meV/atom
SG: C2/m, No. 12
Volume: 19.28 Å³/atom

a = 3.7000 Å, b = 7.5745 Å, c = 7.5745 Å
α = 57.99°, β = 76.54°, γ = 76.54°
Closest atoms and distances in Å follow each position.
Positions (direct):
Ga (0.3157, 0.3652, 0.0025)  4 Ga 2.57-2.71, 1 Li 2.70
Ga (0.6843, 0.6348, 0.9975)  4 Ga 2.57-2.71, 1 Li 2.70
Ga (0.5000, 0.6749, 0.3252)  3 Ga 2.57, 4 Li 2.81-2.82
Ga (0.3157, 0.0025, 0.3652)  4 Ga 2.57-2.71, 1 Li 2.70
Ga (0.5000, 0.3252, 0.6749)  3 Ga 2.57, 4 Li 2.81-2.82
Ga (0.6843, 0.9975, 0.6348)  4 Ga 2.57-2.71, 1 Li 2.70
Sn (0.0000, 0.0000, 0.0000)  12 Ga 3.02-3.29
Li (0.1274, 0.3680, 0.3680)  6 Ga 2.70-2.82
Li (0.8726, 0.6320, 0.6320)  6 Ga 2.70-2.82

=====

Below is crystalline CsLi2ZnAu at its relaxed geometry, with properties calculated at the PBE-GGA level.

ΔE_f: -0.521 eV/f.u.
SG: P4/mmm, No. 123
Volume: 29.03 Å³/atom

a = 5.3364 Å, b = 5.3364 Å, c = 5.0974 Å
α = 90.00°, β = 90.00°, γ = 90.00°
Closest atoms and distances in Å follow each position.
Positions (direct):
Cs (0.5000, 0.5000, 0.5000)  8 Li 3.69, 4 Zn 3.77
Li (0.5000, 0.0000, 0.0000)  2 Au 2.67
Li (0.0000, 0.5000, 0.0000)  2 Au 2.67
Zn (0.0000, 0.0000, 0.5000)  2 Au 2.55
Au (0.0000, 0.0000, 0.0000)  2 Zn 2.55, 4 Li 2.67

=====

Below is crystalline TlIN2 at its relaxed geometry, with properties calculated at the PBE-GGA level.

Formation energy from raw total energies: 1.551 eV/atom
Energy above the lowest structure with this stoichiometry: 232 meV/atom
SG: I-42d, No. 122
Volume: 19.59 Å³/atom

a = 4.9797 Å, b = 4.9797 Å, c = 7.2340 Å
α = 69.87°, β = 69.87°, γ = 90.00°
Closest atoms and distances in Å follow each position.
Positions (direct):
Tl (0.7500, 0.2500, 0.5000)  4 N 2.43
Tl (0.0000, 0.0000, 0.0000)  4 N 2.43
I (0.2500, 0.7500, 0.5000)  4 N 2.31
I (0.5000, 0.5000, 0.0000)  4 N 2.31
N (0.3750, 0.3976, 0.7500)  2 I 2.31, 2 Tl 2.43
N (0.1476, 0.6250, 0.2500)  2 I 2.31, 2 Tl 2.43
N (0.8750, 0.8524, 0.7500)  2 I 2.31, 2 Tl 2.43
N (0.6024, 0.1250, 0.2500)  2 I 2.31, 2 Tl 2.43

=====

Below is crystalline Fe2Rh3 at its relaxed geometry, with properties calculated at the PBE-GGA level.

ΔE_f: -0.034 eV/f.u.
Energy above the lowest structure with this stoichiometry: 0 meV/atom
SG: I4/mmm, No. 139
Volume: 13.34 Å³/atom

a = 9.3049 Å, b = 2.7060 Å, c = 2.7060 Å
α = 90.00°, β = 98.36°, γ = 98.36°
Closest atoms and distances in Å follow each position.
Positions (direct):
Fe (0.0022, 0.0011, 0.0011)  8 Rh 2.61-2.63, 4 Fe 2.71
Fe (0.3978, 0.1989, 0.1989)  8 Rh 2.61-2.63, 4 Fe 2.71
Rh (0.8073, 0.4037, 0.4037)  4 Fe 2.61, 8 Rh 2.71-2.74
Rh (0.2000, 0.6000, 0.6000)  8 Fe 2.63, 4 Rh 2.71
Rh (0.5927, 0.7963, 0.7963)  4 Fe 2.61, 8 Rh 2.71-2.74

=====

Below is crystalline LuCu2Rh at its relaxed geometry, with properties calculated at the PBE-GGA level.

ΔE_f: -1.276 eV/f.u.
SG: Fm-3m, No. 225
Volume: 15.66 Å³/atom

a = 4.4581 Å, b = 4.4581 Å, c = 4.4581 Å
α = 60.00°, β = 60.00°, γ = 60.00°
Closest atoms and distances in Å follow each position.
Positions (direct):
Cu (0.2500, 0.2500, 0.2500)  4 Rh 2.73, 4 Lu 2.73
Cu (0.7500, 0.7500, 0.7500)  4 Rh 2.73, 4 Lu 2.73
Rh (0.5000, 0.5000, 0.5000)  8 Cu 2.73
Lu (0.0000, 0.0000, 0.0000)  8 Cu 2.73

=====

Below is crystalline TbMgAlGa at its relaxed geometry, with properties calculated at the PBE-GGA level.

ΔE_f: -1.128 eV/f.u.
SG: F-43m, No. 216
Volume: 21.29 Å³/atom

a = 4.9382 Å, b = 4.9382 Å, c = 4.9382 Å
α = 60.00°, β = 60.00°, γ = 60.00°
Closest atoms and distances in Å follow each position.
Positions (direct):
Mg (0.7500, 0.7500, 0.7500)  4 Ga 3.02, 4 Al 3.02
Tb (0.2500, 0.2500, 0.2500)  4 Al 3.02, 4 Ga 3.02
Al (0.0000, 0.0000, 0.0000)  4 Tb 3.02, 4 Mg 3.02
Ga (0.5000, 0.5000, 0.5000)  4 Mg 3.02, 4 Tb 3.02